# 1
DFT (PBE-GGA) results for PrNdB2Ir2C2 after structural relaxation.

```
data_PrNdB2Ir2C2
_chemical_formula_sum 'Pr1 Nd1 B2 Ir2 C2'
_cell_length_a 3.829
_cell_length_b 3.829
_cell_length_c 7.919
_cell_angle_alpha 90.00
_cell_angle_beta 90.00
_cell_angle_gamma 90.00
_space_group_name_H-M_alt 'P 4 m m'
_space_group_IT_number 99
loop_
_space_group_symop_operation_xyz
'x,y,z'
'-y,x,z'
'-x,-y,z'
'y,-x,z'
'-x,y,z'
'y,x,z'
'x,-y,z'
'-y,-x,z'
loop_
_atom_site_label
_atom_site_type_symbol
_atom_site_fract_x
_atom_site_fract_y
_atom_site_fract_z
Pr1 Pr 0.000 0.000 0.000
Nd1 Nd 0.500 0.500 0.664
B1 B 0.000 0.000 0.482
B2 B 0.500 0.500 0.181
Ir1 Ir 0.000 0.500 0.332
C1 C 0.000 0.000 0.675
C2 C 0.500 0.500 0.988
```

Calculated values
Its magnetization is 0.002 μB per formula unit. The calculation puts the raw total energy at -7.77 eV/atom.

---

# 2
DFT (PBE-GGA) results for BaMg2InPt after structural relaxation.

```
data_BaMg2InPt
_chemical_formula_sum 'Ba2 Mg4 In2 Pt2'
_cell_length_a 4.584
_cell_length_b 4.584
_cell_length_c 12.672
_cell_angle_alpha 90.00
_cell_angle_beta 90.00
_cell_angle_gamma 90.00
_space_group_name_H-M_alt 'I 4 m m'
_space_group_IT_number 107
_space_group_name_Hall 'I 4 -2'
loop_
_atom_site_label
_atom_site_type_symbol
_atom_site_fract_x
_atom_site_fract_y
_atom_site_fract_z
Ba1 Ba 0.000 0.000 0.000
Mg1 Mg 0.000 0.500 0.228
In1 In 0.000 0.000 0.386
Pt1 Pt 0.000 0.000 0.610
```

Calculated values
Its magnetization is 0.004 μB per formula unit. The calculation puts the raw total energy at -3.26 eV/atom.